A plane-wave DFT calculation with PBE-GGA was carried out for a geometry-optimized AcPmSmHg structure.

a b c (Å): 3.8264 3.8264 8.9682
angles (deg): 90.00 90.00 90.00
Fractional coordinates of all 4 atoms:
Ac  0.0000  0.0000  0.0699
Pm  0.5000  0.5000  0.3616
Sm  0.5000  0.5000  0.7798
Hg  0.0000  0.0000  0.5733

Results
**ρ**: 9.14 g/cm3
**ΔE_f**: -0.9 eV/f.u.
**Symmetry**: P4mm (99)
**Uncorrected energy**: -14.76 eV/cell
**Energy above the lowest structure with this stoichiometry**: 0.0 meV per atom